Record 1
Computed, not measured: a PBEsol-optimized structure of NaSrAu2 at the SCAN level of DFT.

Calculated values
As for the space-group type: Fm-3m, No. 225. For the total energy, the calculation gives -41.89 eV/atom. The calculation puts the calculated formation energy at -0.68 eV per atom.

Cell: 5.139 5.139 5.139 Å, 60.00 60.00 60.00°
Element x y z (fractional)
Na (0.000, 0.000, 0.000)
Sr (0.500, 0.500, 0.500)
Au (0.250, 0.250, 0.250)
Au (0.750, 0.750, 0.750)

Record 2
Computed, not measured: a PBEsol-optimized structure of SrIrAu2 at the SCAN level of DFT.

Calculated values
As for the space-group type: Fm-3m, No. 225. For the total energy, the calculation gives -57.87 eV/atom. The calculation puts the calculated formation energy at 0.05 eV per atom.

Cell: 4.800 4.800 4.800 Å, 60.00 60.00 60.00°
Element x y z (fractional)
Sr (0.000, 0.000, 0.000)
Ir (0.500, 0.500, 0.500)
Au (0.250, 0.250, 0.250)
Au (0.750, 0.750, 0.750)

Record 3
Computed, not measured: a PBEsol-optimized structure of SmBiAu2 at the SCAN level of DFT.

Calculated values
As for the space-group type: Fm-3m, No. 225. For the total energy, the calculation gives -66.05 eV/atom. The calculation puts the calculated formation energy at -0.72 eV per atom.

Cell: 5.047 5.047 5.047 Å, 60.00 60.00 60.00°
Element x y z (fractional)
Sm (0.000, 0.000, 0.000)
Bi (0.500, 0.500, 0.500)
Au (0.250, 0.250, 0.250)
Au (0.750, 0.750, 0.750)

Record 4
Computed, not measured: a PBEsol-optimized structure of Sc2Be at the SCAN level of DFT.

Calculated values
As for the space-group type: Pnma, No. 62. For the total energy, the calculation gives -10.99 eV/atom. The calculation puts the calculated formation energy at -0.04 eV per atom.

Cell: 5.978 4.499 8.068 Å, 90.00 90.00 90.00°
Element x y z (fractional)
Sc (0.016, 0.250, 0.194)
Sc (0.170, 0.250, 0.578)
Sc (0.330, 0.750, 0.078)
Sc (0.484, 0.750, 0.694)
Sc (0.516, 0.250, 0.306)
Sc (0.670, 0.250, 0.922)
Sc (0.830, 0.750, 0.422)
Sc (0.984, 0.750, 0.806)
Be (0.226, 0.250, 0.903)
Be (0.274, 0.750, 0.403)
Be (0.726, 0.250, 0.597)
Be (0.774, 0.750, 0.097)

Record 5
Computed, not measured: a PBEsol-optimized structure of TeIrS2 at the SCAN level of DFT.

Calculated values
As for the space-group type: R-3m, No. 166. For the total energy, the calculation gives -32.17 eV/atom. The uncorrected formation energy comes out at -269 meV/atom.

Cell: 7.887 7.887 7.887 Å, 26.19 26.19 26.19°
Element x y z (fractional)
Te (0.000, 0.000, 0.000)
Ir (0.500, 0.500, 0.500)
S (0.117, 0.117, 0.117)
S (0.883, 0.883, 0.883)

Record 6
Computed, not measured: a PBEsol-optimized structure of TeAsAu2 at the SCAN level of DFT.

Calculated values
As for the space-group type: Imm2, No. 44. For the total energy, the calculation gives -48.80 eV/atom. The uncorrected formation energy comes out at 142 meV/atom.

Cell: 6.632 6.632 6.632 Å, 149.05 145.79 46.80°
Element x y z (fractional)
Te (0.000, 0.000, 0.000)
As (0.196, 0.696, 0.500)
Au (0.405, 0.405, 0.000)
Au (0.739, 0.239, 0.500)

Record 7
Computed, not measured: a PBEsol-optimized structure of BeOs2Br at the SCAN level of DFT.

Calculated values
As for the space-group type: C2/m, No. 12. For the total energy, the calculation gives -40.71 eV/atom. The uncorrected formation energy comes out at 1181 meV/atom.

Cell: 5.086 5.086 2.942 Å, 105.07 105.07 118.46°
Element x y z (fractional)
Be (0.000, 0.000, 0.000)
Os (0.000, 0.500, 0.500)
Os (0.500, 0.000, 0.500)
Br (0.500, 0.500, 0.000)

Record 8
Computed, not measured: a PBEsol-optimized structure of BaCuO2F at the SCAN level of DFT.

Calculated values
As for the space-group type: P4/mmm, No. 123. For the total energy, the calculation gives -16.19 eV/atom. The uncorrected formation energy comes out at -2040 meV/atom.

Cell: 3.845 3.845 4.307 Å, 90.00 90.00 90.00°
Element x y z (fractional)
Ba (0.000, 0.000, 0.000)
Cu (0.500, 0.500, 0.500)
O (0.000, 0.500, 0.500)
O (0.500, 0.000, 0.500)
F (0.500, 0.500, 0.000)

For the records above, the corresponding magnetic moment values read 0.00 0.00 0.00 0.00 0.00 0.00 0.00 0.28 μB/cell.